! Er4InIr | Alexandria | SCAN | PBEsol geometry; values from VASP
! Crystal system = cubic
! Spin magnetization = 0.0 μB per cell
! Energy of formation from the pure elements = -755 meV per atom
&SYSTEM
  ibrav = 0, nat = 24, ntyp = 3
/
ATOMIC_SPECIES
Er 167.26 Er.upf
In 114.82 In.upf
Ir 192.22 Ir.upf
ATOMIC_POSITIONS angstrom
Er 3.3298 3.3298 0.7825
Er 3.3298 0.7825 3.3298
Er 5.8770 3.3298 3.3298
Er 6.6596 6.6596 2.5348
Er 6.6596 2.5348 6.6596
Er 10.7843 6.6596 6.6596
Er 7.9861 5.3330 5.3330
Er 0.7825 3.3298 3.3298
Er 3.3298 5.8770 3.3298
Er 3.3298 3.3298 5.8770
Er 5.3330 7.9861 5.3330
Er 5.3330 5.3330 7.9861
Er 7.9861 7.9861 7.9861
Er 2.5348 6.6596 6.6596
Er 6.6596 10.7843 6.6596
Er 6.6596 6.6596 10.7843
In 11.0950 8.8837 8.8837
In 8.8837 11.0950 8.8837
In 8.8837 8.8837 11.0950
In 11.0950 11.0950 11.0950
Ir 5.2145 5.2145 5.2145
Ir 8.1046 8.1046 5.2145
Ir 8.1046 5.2145 8.1046
Ir 5.2145 8.1046 8.1046
CELL_PARAMETERS angstrom
0.0000 6.6596 6.6596
6.6596 0.0000 6.6596
6.6596 6.6596 0.0000


! CuCl2F | Alexandria | SCAN | PBEsol geometry; values from VASP
! Crystal system = cubic
! E_form (uncorrected) = 0.1 eV/f.u.
! Spin magnetization = 0.0 μB per cell
&SYSTEM
  ibrav = 0, nat = 4, ntyp = 3
/
ATOMIC_SPECIES
Cu 63.55 Cu.upf
Cl 35.45 Cl.upf
F 19.00 F.upf
ATOMIC_POSITIONS angstrom
Cu 0.0000 0.0000 0.0000
Cl 1.5029 1.5029 1.5029
Cl 4.5086 4.5086 4.5086
F 3.0058 3.0058 3.0058
CELL_PARAMETERS angstrom
0.0000 3.0058 3.0058
3.0058 0.0000 3.0058
3.0058 3.0058 0.0000


! CaRuC3 | Alexandria | SCAN | PBEsol geometry; values from VASP
! Crystal system = cubic
! Spin magnetization = 0.0 μB per cell
! Energy of formation from the pure elements = 1276 meV per atom
&SYSTEM
  ibrav = 0, nat = 5, ntyp = 3
/
ATOMIC_SPECIES
Ca 40.08 Ca.upf
Ru 101.07 Ru.upf
C 12.01 C.upf
ATOMIC_POSITIONS angstrom
Ca 0.0000 0.0000 0.0000
Ru 1.9791 1.9791 1.9791
C 0.0000 1.9791 1.9791
C 1.9791 0.0000 1.9791
C 1.9791 1.9791 0.0000
CELL_PARAMETERS angstrom
3.9582 0.0000 0.0000
0.0000 3.9582 0.0000
0.0000 0.0000 3.9582


! ZrInSi2 | Alexandria | SCAN | PBEsol geometry; values from VASP
! Crystal system = orthorhombic
! E_form (uncorrected) = -0.1 eV/f.u.
! Spin magnetization = 0.0 μB per cell
&SYSTEM
  ibrav = 0, nat = 4, ntyp = 3
/
ATOMIC_SPECIES
Zr 91.22 Zr.upf
In 114.82 In.upf
Si 28.09 Si.upf
ATOMIC_POSITIONS angstrom
Zr 0.0000 0.0000 0.0000
In 1.4447 2.3716 1.4944
Si 1.4447 0.0000 2.8589
Si 1.4447 2.3716 4.1668
CELL_PARAMETERS angstrom
2.8895 0.0000 0.0000
0.0000 4.7432 0.0000
0.0000 0.0000 5.2674


! Sb2TePdW | Alexandria | SCAN | PBEsol geometry; values from VASP
! Crystal system = tetragonal
! E_form (uncorrected) = 4.7 eV/f.u.
! Spin magnetization = 0.0 μB per cell
&SYSTEM
  ibrav = 0, nat = 5, ntyp = 4
/
ATOMIC_SPECIES
Sb 121.76 Sb.upf
Te 127.60 Te.upf
Pd 106.42 Pd.upf
W 183.84 W.upf
ATOMIC_POSITIONS angstrom
Sb 0.0000 2.5795 0.0000
Sb 2.5795 0.0000 0.0000
Te 0.0000 0.0000 2.5683
Pd 2.5795 2.5795 2.5683
W 0.0000 0.0000 0.0000
CELL_PARAMETERS angstrom
5.1589 0.0000 0.0000
0.0000 5.1589 0.0000
0.0000 0.0000 5.1366


! Y6Ti4Al43 | Alexandria | SCAN | PBEsol geometry; values from VASP
! Crystal system = hexagonal
! Spin magnetization = 0.0 μB per cell
! Energy of formation from the pure elements = -364 meV per atom
&SYSTEM
  ibrav = 0, nat = 106, ntyp = 3
/
ATOMIC_SPECIES
Y 88.91 Y.upf
Ti 47.87 Ti.upf
Al 26.98 Al.upf
ATOMIC_POSITIONS angstrom
Y -2.5861 4.4793 1.7058
Y -2.5861 4.4793 7.1627
Y -2.9032 5.0285 10.5744
Y -2.9032 5.0285 16.0313
Y 5.1722 0.0000 1.7058
Y 5.1722 0.0000 7.1627
Y 2.5861 4.4793 10.5744
Y 2.5861 4.4793 16.0313
Y 5.8065 0.0000 10.5744
Y 5.8065 0.0000 16.0313
Y 2.9032 5.0285 1.7058
Y 2.9032 5.0285 7.1627
Ti 0.0000 0.0000 0.0000
Ti 0.0000 0.0000 8.8686
Ti -1.4935 2.5868 4.4343
Ti -3.9958 6.9210 13.3028
Ti 2.9870 0.0000 4.4343
Ti 1.4935 2.5868 13.3028
Ti 7.9917 0.0000 13.3028
Ti 3.9958 6.9210 4.4343
Al -0.8063 1.3965 13.3028
Al -0.8562 1.4830 2.0655
Al -0.8562 1.4830 6.8031
Al -1.3871 2.4026 9.3797
Al -1.3871 2.4026 17.2259
Al -4.1022 7.1052 0.5112
Al -4.1022 7.1052 8.3574
Al -4.6331 8.0248 10.9340
Al -4.6331 8.0248 15.6717
Al -4.6831 8.1113 4.4343
Al 1.6125 0.0000 13.3028
Al 0.8063 1.3965 4.4343
Al -1.3946 5.2592 4.4343
Al -1.6320 5.6705 13.3028
Al 1.7124 0.0000 2.0655
Al 1.7124 0.0000 6.8031
Al 0.8562 1.4830 10.9340
Al 0.8562 1.4830 15.6717
Al -0.4118 3.7394 11.7708
Al -0.4118 3.7394 14.8349
Al -2.4569 7.2815 2.9022
Al -2.4569 7.2815 5.9663
Al 0.4118 3.7394 2.9022
Al 0.4118 3.7394 5.9663
Al -2.0451 7.9947 11.7708
Al -2.0451 7.9947 14.8349
Al 0.0000 4.7032 0.0000
Al 0.0000 4.7032 8.8686
Al -1.4163 7.1562 0.0000
Al -1.4163 7.1562 8.8686
Al 2.7743 0.0000 9.3797
Al 2.7743 0.0000 17.2259
Al 1.3871 2.4026 0.5112
Al 1.3871 2.4026 8.3574
Al 0.0000 6.3385 2.2277
Al 0.0000 6.3385 6.6408
Al 0.0000 6.3385 11.0963
Al 0.0000 6.3385 15.5094
Al 3.4443 1.5131 11.7708
Al 3.4443 1.5131 14.8349
Al 3.0325 2.2263 2.9022
Al 3.0325 2.2263 5.9663
Al 1.3946 5.2592 13.3028
Al -0.2375 8.0859 4.4343
Al 1.6320 5.6705 4.4343
Al 0.2375 8.0859 13.3028
Al 4.0731 2.3516 0.0000
Al 4.0731 2.3516 8.8686
Al 1.4163 7.1562 0.0000
Al 1.4163 7.1562 8.8686
Al 5.2519 1.4219 4.4343
Al 3.8573 3.8373 13.3028
Al 5.7268 1.4219 13.3028
Al 4.0948 4.2486 4.4343
Al 2.4568 7.2815 11.7708
Al 2.4568 7.2815 14.8349
Al 2.0451 7.9947 2.9022
Al 2.0451 7.9947 5.9663
Al 5.4893 3.1693 2.2277
Al 5.4893 3.1693 6.6408
Al 5.4893 3.1693 11.0963
Al 5.4893 3.1693 15.5094
Al 8.2044 0.0000 0.5112
Al 8.2044 0.0000 8.3574
Al 4.1022 7.1052 9.3797
Al 4.1022 7.1052 17.2259
Al 6.9056 2.3516 0.0000
Al 6.9056 2.3516 8.8686
Al 5.4893 4.8046 0.0000
Al 5.4893 4.8046 8.8686
Al 7.5344 1.5131 2.9022
Al 7.5344 1.5131 5.9663
Al 5.0776 5.7685 11.7708
Al 5.0776 5.7685 14.8349
Al 7.9462 2.2263 11.7708
Al 7.9462 2.2263 14.8349
Al 5.9011 5.7685 2.9022
Al 5.9011 5.7685 5.9663
Al 9.2663 0.0000 10.9340
Al 9.2663 0.0000 15.6717
Al 4.6331 8.0248 2.0655
Al 4.6331 8.0248 6.8031
Al 7.1214 3.8373 4.4343
Al 6.8839 4.2486 13.3028
Al 9.3661 0.0000 4.4343
Al 4.6831 8.1113 13.3028
CELL_PARAMETERS angstrom
10.9787 0.0000 0.0000
-5.4893 9.5078 0.0000
0.0000 0.0000 17.7371


! BaTl3 | Alexandria | SCAN | PBEsol geometry; values from VASP
! Crystal system = orthorhombic
! Spin magnetization = 0.0 μB per cell
! Energy of formation from the pure elements = -432 meV per atom
&SYSTEM
  ibrav = 0, nat = 8, ntyp = 2
/
ATOMIC_SPECIES
Ba 137.33 Ba.upf
Tl 204.38 Tl.upf
ATOMIC_POSITIONS angstrom
Ba 3.7227 4.3324 3.8663
Ba 3.7227 -4.3324 1.2888
Tl 2.0208 0.9669 3.8663
Tl 2.0208 -0.9669 1.2888
Tl 3.7227 1.9335 1.2888
Tl 3.7227 -1.9335 3.8663
Tl 5.4246 0.9669 3.8663
Tl 5.4246 -0.9669 1.2888
CELL_PARAMETERS angstrom
3.7227 -6.5642 0.0000
3.7227 6.5642 0.0000
0.0000 0.0000 5.1550


! Sr2Li | Alexandria | SCAN | PBEsol geometry; values from VASP
! Crystal system = orthorhombic
! Spin magnetization = 1.0 μB per cell
! Energy of formation from the pure elements = 34 meV per atom
&SYSTEM
  ibrav = 0, nat = 12, ntyp = 2
/
ATOMIC_SPECIES
Sr 87.62 Sr.upf
Li 6.94 Li.upf
ATOMIC_POSITIONS angstrom
Sr 0.2794 1.4663 2.2415
Sr 1.2896 1.4663 6.2601
Sr 2.6319 4.3988 0.7533
Sr 3.6421 4.3988 7.7483
Sr 4.2009 1.4663 3.2653
Sr 5.2111 1.4663 10.2603
Sr 6.5534 4.3988 4.7535
Sr 7.5635 4.3988 8.7721
Li 1.6406 1.4663 9.8363
Li 2.2809 4.3988 4.3295
Li 5.5621 1.4663 6.6840
Li 6.2024 4.3988 1.1772
CELL_PARAMETERS angstrom
7.8430 0.0000 0.0000
0.0000 5.8651 0.0000
0.0000 0.0000 11.0136


! KNa3Sn | Alexandria | SCAN | PBEsol geometry; values from VASP
! Crystal system = cubic
! Spin magnetization = 0.0 μB per cell
! Energy of formation from the pure elements = -97 meV per atom
&SYSTEM
  ibrav = 0, nat = 5, ntyp = 3
/
ATOMIC_SPECIES
K 39.10 K.upf
Na 22.99 Na.upf
Sn 118.71 Sn.upf
ATOMIC_POSITIONS angstrom
K 0.0000 0.0000 0.0000
Na 0.0000 2.9797 2.9797
Na 2.9797 0.0000 2.9797
Na 2.9797 2.9797 0.0000
Sn 2.9797 2.9797 2.9797
CELL_PARAMETERS angstrom
5.9595 0.0000 0.0000
0.0000 5.9595 0.0000
0.0000 0.0000 5.9595


! V2GaN | Alexandria | SCAN | PBEsol geometry; values from VASP
! Crystal system = hexagonal
! E_form (uncorrected) = -3.5 eV/f.u.
! Spin magnetization = 0.0 μB per cell
&SYSTEM
  ibrav = 0, nat = 8, ntyp = 3
/
ATOMIC_SPECIES
V 50.94 V.upf
Ga 69.72 Ga.upf
N 14.01 N.upf
ATOMIC_POSITIONS angstrom
V 0.0000 1.6658 1.0686
V 0.0000 1.6658 5.2472
V 1.4426 0.8329 7.3845
V 1.4426 0.8329 11.5631
Ga 0.0000 1.6658 9.4738
Ga 1.4426 0.8329 3.1579
N 0.0000 0.0000 0.0000
N 0.0000 0.0000 6.3159
CELL_PARAMETERS angstrom
2.8853 0.0000 0.0000
-1.4426 2.4987 0.0000
0.0000 0.0000 12.6318


! NbTlGa2 | Alexandria | SCAN | PBEsol geometry; values from VASP
! Crystal system = cubic
! Spin magnetization = 1.8 μB per cell
! Energy of formation from the pure elements = 526 meV per atom
&SYSTEM
  ibrav = 0, nat = 4, ntyp = 3
/
ATOMIC_SPECIES
Nb 92.91 Nb.upf
Tl 204.38 Tl.upf
Ga 69.72 Ga.upf
ATOMIC_POSITIONS angstrom
Nb 0.0000 0.0000 0.0000
Tl 3.3586 3.3586 3.3586
Ga 1.6793 1.6793 1.6793
Ga 5.0379 5.0379 5.0379
CELL_PARAMETERS angstrom
0.0000 3.3586 3.3586
3.3586 0.0000 3.3586
3.3586 3.3586 0.0000


! MgIrRh2 | Alexandria | SCAN | PBEsol geometry; values from VASP
! Crystal system = tetragonal
! Spin magnetization = 0.0 μB per cell
! Energy of formation from the pure elements = -252 meV per atom
&SYSTEM
  ibrav = 0, nat = 4, ntyp = 3
/
ATOMIC_SPECIES
Mg 24.30 Mg.upf
Ir 192.22 Ir.upf
Rh 102.91 Rh.upf
ATOMIC_POSITIONS angstrom
Mg 0.0000 0.0000 0.0000
Ir 1.9123 0.0000 1.9229
Rh 0.0000 0.0000 3.8458
Rh 0.0000 1.9123 1.9229
CELL_PARAMETERS angstrom
-1.9123 1.9123 3.8458
1.9123 -1.9123 3.8458
1.9123 1.9123 -3.8458


! PtCl3 | Alexandria | SCAN | PBEsol geometry; values from VASP
! Crystal system = trigonal
! E_form (uncorrected) = 2.7 eV/f.u.
! Spin magnetization = 0.0 μB per cell
&SYSTEM
  ibrav = 0, nat = 4, ntyp = 2
/
ATOMIC_SPECIES
Pt 195.08 Pt.upf
Cl 35.45 Cl.upf
ATOMIC_POSITIONS angstrom
Pt 0.0000 0.0000 0.0000
Cl -1.8773 -1.0838 1.5207
Cl -1.8773 1.0838 3.0414
Cl 0.0000 2.1677 1.5207
CELL_PARAMETERS angstrom
3.7546 2.1677 1.5207
-3.7546 2.1677 1.5207
0.0000 -4.3354 1.5207


! Sr2ScPd2 | Alexandria | SCAN | PBEsol geometry; values from VASP
! Crystal system = tetragonal
! Spin magnetization = 0.0 μB per cell
! Energy of formation from the pure elements = -1 meV per atom
&SYSTEM
  ibrav = 0, nat = 5, ntyp = 3
/
ATOMIC_SPECIES
Sr 87.62 Sr.upf
Sc 44.96 Sc.upf
Pd 106.42 Pd.upf
ATOMIC_POSITIONS angstrom
Sr 2.2342 0.0000 3.2516
Sr 0.0000 2.2342 3.2516
Sc 0.0000 0.0000 0.0000
Pd 0.0000 0.0000 5.2522
Pd 0.0000 0.0000 7.7544
CELL_PARAMETERS angstrom
-2.2342 2.2342 6.5033
2.2342 -2.2342 6.5033
2.2342 2.2342 -6.5033


! As2Cl3OF5 | Alexandria | SCAN | PBEsol geometry; values from VASP
! Crystal system = monoclinic
! E_form (uncorrected) = -17.1 eV/f.u.
! Spin magnetization = 0.0 μB per cell
&SYSTEM
  ibrav = 0, nat = 44, ntyp = 4
/
ATOMIC_SPECIES
As 74.92 As.upf
Cl 35.45 Cl.upf
O 16.00 O.upf
F 19.00 F.upf
ATOMIC_POSITIONS angstrom
As -0.1249 2.3055 1.3712
As -1.2905 7.1731 5.0877
As 0.6264 11.6366 5.0596
As 1.7919 16.7992 1.3431
As 1.9218 2.1580 6.0898
As 3.0874 7.3206 2.3733
As 5.0042 11.7841 2.3453
As 3.8387 16.6517 6.0617
Cl -0.8913 11.9847 6.4589
Cl 0.2743 16.4511 2.7424
Cl 0.6275 0.7218 5.3151
Cl 1.7931 8.7568 1.5986
Cl 0.8552 3.9382 6.3236
Cl 2.0208 5.5404 2.6071
Cl 1.6930 13.4168 4.8258
Cl 2.8585 15.0190 1.1093
Cl 1.9207 10.2004 5.8343
Cl 3.0863 18.2354 2.1178
Cl 3.4395 2.5061 4.6905
Cl 4.6051 6.9725 0.9740
O 0.0622 10.9199 3.6206
O -1.1033 17.5159 7.3371
O 4.8171 1.4413 0.0958
O 3.6515 8.0373 3.8123
F -0.0311 3.7257 0.3296
F -1.1966 5.7529 4.0460
F -0.3093 0.8284 2.2970
F -1.4748 8.6501 6.0135
F 0.4057 12.4437 1.6016
F -0.7599 15.9921 5.3180
F 1.2839 1.6452 0.5710
F 0.1183 7.8334 4.2875
F 0.8707 3.0355 2.6136
F -0.2948 6.4431 6.3300
F 4.0086 12.5141 1.1029
F 2.8430 15.9217 4.8194
F 3.5955 11.1238 3.1454
F 2.4299 17.3120 6.8619
F 4.4736 2.9651 2.1149
F 3.3081 6.5135 5.8314
F 5.1886 10.3071 1.4195
F 4.0230 18.1287 5.1359
F 4.9104 13.2043 3.3869
F 3.7448 15.2315 7.1033
CELL_PARAMETERS angstrom
6.0449 0.0000 0.0000
0.0000 18.9572 0.0000
-2.3311 0.0000 7.4329


! CsLi2NiSe | Alexandria | SCAN | PBEsol geometry; values from VASP
! Crystal system = tetragonal
! E_form (uncorrected) = 1.0 eV/f.u.
! Spin magnetization = 0.0 μB per cell
&SYSTEM
  ibrav = 0, nat = 5, ntyp = 4
/
ATOMIC_SPECIES
Cs 132.91 Cs.upf
Li 6.94 Li.upf
Ni 58.69 Ni.upf
Se 78.96 Se.upf
ATOMIC_POSITIONS angstrom
Cs 0.0000 0.0000 0.0000
Li 0.0000 2.4669 2.5253
Li 2.4669 0.0000 2.5253
Ni 0.0000 0.0000 2.5253
Se 2.4669 2.4669 0.0000
CELL_PARAMETERS angstrom
4.9337 0.0000 0.0000
0.0000 4.9337 0.0000
0.0000 0.0000 5.0507


! LiMo3 | Alexandria | SCAN | PBEsol geometry; values from VASP
! Crystal system = monoclinic
! Spin magnetization = 0.0 μB per cell
! Energy of formation from the pure elements = 297 meV per atom
&SYSTEM
  ibrav = 0, nat = 4, ntyp = 2
/
ATOMIC_SPECIES
Li 6.94 Li.upf
Mo 95.94 Mo.upf
ATOMIC_POSITIONS angstrom
Li 0.0000 0.0000 0.0000
Mo 0.0303 2.2102 3.8381
Mo 0.9060 0.0000 2.5649
Mo 1.7818 2.2102 1.2916
CELL_PARAMETERS angstrom
2.5942 0.0000 0.0000
0.0000 4.4204 0.0000
-0.7822 0.0000 5.1297


! CsNdO2 | Alexandria | SCAN | PBEsol geometry; values from VASP
! Crystal system = hexagonal
! E_form (uncorrected) = -11.2 eV/f.u.
! Spin magnetization = 0.0 μB per cell
&SYSTEM
  ibrav = 0, nat = 8, ntyp = 3
/
ATOMIC_SPECIES
Cs 132.91 Cs.upf
Nd 144.24 Nd.upf
O 16.00 O.upf
ATOMIC_POSITIONS angstrom
Cs 0.0000 2.1085 3.3991
Cs 1.8260 1.0542 10.1972
Nd 0.0000 0.0000 0.0000
Nd 0.0000 0.0000 6.7981
O 0.0000 2.1085 7.9670
O 0.0000 2.1085 12.4273
O 1.8260 1.0542 1.1689
O 1.8260 1.0542 5.6292
CELL_PARAMETERS angstrom
3.6520 0.0000 0.0000
-1.8260 3.1627 0.0000
0.0000 0.0000 13.5962


! CsTlGa3 | Alexandria | SCAN | PBEsol geometry; values from VASP
! Crystal system = cubic
! Spin magnetization = 1.3 μB per cell
! Energy of formation from the pure elements = 1279 meV per atom
&SYSTEM
  ibrav = 0, nat = 5, ntyp = 3
/
ATOMIC_SPECIES
Cs 132.91 Cs.upf
Tl 204.38 Tl.upf
Ga 69.72 Ga.upf
ATOMIC_POSITIONS angstrom
Cs 0.0000 0.0000 0.0000
Tl 2.9118 2.9118 2.9118
Ga 0.0000 0.0000 2.9118
Ga 0.0000 2.9118 0.0000
Ga 2.9118 0.0000 0.0000
CELL_PARAMETERS angstrom
5.8236 0.0000 0.0000
0.0000 5.8236 0.0000
0.0000 0.0000 5.8236